The following is a PBE calculation of a relaxed PrMgZnN2 crystal, from Alexandria via LeMat-Bulk.

## Properties
Symmetry: P2/c
V, A^3/atom: 15.2
Calculated total energy, Ha/atom: -0.1937
Formation energy from raw total energies, kJ/mol of formula units: -198

Unit cell a=5.723 b=4.327 c=6.207 alpha=90.00 beta=99.60 gamma=90.00
Fractional positions:
Pr 0.000 0.242 0.250
Pr 0.000 0.758 0.750
Mg 0.500 0.487 0.750
Mg 0.500 0.513 0.250
Zn 0.500 0.000 0.000
Zn 0.500 0.000 0.500
N 0.257 0.312 0.952
N 0.257 0.688 0.452
N 0.743 0.312 0.548
N 0.743 0.688 0.048